# 1
This record from Alexandria via LeMat-Bulk describes an optimized crystal structure of HfCrRePb2. The functional is PBE.

a b c (Å): 5.0643 5.0643 4.5230
angles (deg): 90.00 90.00 90.00
Element x y z (fractional)
1 Hf 0.0000 0.0000 0.0000
2 Cr 0.5000 0.5000 0.5000
3 Re 0.5000 0.5000 0.0000
4 Pb 0.0000 0.5000 0.5000
5 Pb 0.5000 0.0000 0.5000

Values from the calculation:
Space-group type   P4/mmm
Crystal system   tetragonal

***

# 2
This record from Alexandria via LeMat-Bulk describes an optimized crystal structure of Hf2Cr2Pd. The functional is PBE.

a b c (Å): 7.3863 7.3863 3.2634
angles (deg): 90.00 90.00 90.00
Element x y z (fractional)
1 Hf 0.1557 0.3443 0.0000
2 Hf 0.3443 0.8443 0.0000
3 Hf 0.6557 0.1557 0.0000
4 Hf 0.8443 0.6557 0.0000
5 Cr 0.1384 0.6384 0.5000
6 Cr 0.3616 0.1384 0.5000
7 Cr 0.6384 0.8616 0.5000
8 Cr 0.8616 0.3616 0.5000
9 Pd 0.0000 0.0000 0.0000
10 Pd 0.5000 0.5000 0.0000

Values from the calculation:
E above lowest polymorph   0.392 eV/atom
Space-group type   P4/mbm
Crystal system   tetragonal

***

# 3
This record from Alexandria via LeMat-Bulk describes an optimized crystal structure of Hf2Cr2Pd. The functional is PBE.

a b c (Å): 8.6308 8.6308 8.6308
angles (deg): 158.54 158.54 30.54
Element x y z (fractional)
1 Hf 0.1083 0.1083 0.0000
2 Hf 0.8917 0.8917 0.0000
3 Cr 0.2500 0.7500 0.5000
4 Cr 0.7500 0.2500 0.5000
5 Pd 0.5000 0.5000 0.0000

Values from the calculation:
E above lowest polymorph   0.143 eV/atom
Space-group type   I4/mmm
Crystal system   tetragonal

***

# 4
This record from Alexandria via LeMat-Bulk describes an optimized crystal structure of Hf2CrPd. The functional is PBE.

a b c (Å): 3.2368 3.2368 6.6189
angles (deg): 90.00 90.00 90.00
Element x y z (fractional)
1 Hf 0.0000 0.0000 0.2332
2 Hf 0.0000 0.0000 0.7668
3 Cr 0.5000 0.5000 0.0000
4 Pd 0.5000 0.5000 0.5000

Values from the calculation:
Space-group type   P4/mmm
Crystal system   tetragonal

***

# 5
This record from Alexandria via LeMat-Bulk describes an optimized crystal structure of HfCrPd3. The functional is PBE.

a b c (Å): 4.5506 4.5506 4.5506
angles (deg): 90.00 90.00 90.00
Element x y z (fractional)
1 Hf 0.0000 0.0000 0.0000
2 Cr 0.5000 0.5000 0.5000
3 Pd 0.0000 0.5000 0.5000
4 Pd 0.5000 0.0000 0.5000
5 Pd 0.5000 0.5000 0.0000

Values from the calculation:
E above lowest polymorph   0.000 eV/atom
Space-group type   Pm-3m
Crystal system   cubic

***

# 6
This record from Alexandria via LeMat-Bulk describes an optimized crystal structure of HfCr3Pd. The functional is PBE.

a b c (Å): 4.7097 4.7097 4.7097
angles (deg): 90.00 90.00 90.00
Element x y z (fractional)
1 Hf 0.0000 0.0000 0.0000
2 Cr 0.0000 0.5000 0.5000
3 Cr 0.5000 0.0000 0.5000
4 Cr 0.5000 0.5000 0.0000
5 Pd 0.5000 0.5000 0.5000

Values from the calculation:
E above lowest polymorph   0.000 eV/atom
Space-group type   Pm-3m
Crystal system   cubic

***

ΔE_f values (in eV/atom) by entry order: 1.226; 0.355; 0.106; -0.350; 0.643; 1.291.
Density of states at the Fermi level values (in states/eV/f.u.) by entry order: 5.387; 4.923; 6.978; 2.844; 6.976; 6.080.
E values (in eV per atom) by entry order: -6.662; -8.514; -8.764; -9.031; -6.388; -7.512.